Record 1
# CrRe2TcNi (PBE-GGA, optimized geometry)
# Electronic total energy, eV/f.u.: -42.80
# M_tot, μB per formula unit: 2.16
# ΔE_f, eV/f.u.: 7.87
data_CrRe2TcNi
_chemical_formula_sum 'Cr1 Re2 Tc1 Ni1'
_symmetry_space_group_name_H-M 'P 4/m m m'
_symmetry_Int_Tables_number 123
_symmetry_space_group_name_Hall '-P 4 2'
_cell_length_a 4.4102
_cell_length_b 4.4102
_cell_length_c 4.1982
_cell_angle_alpha 90.00
_cell_angle_beta 90.00
_cell_angle_gamma 90.00
loop_
_atom_site_label
_atom_site_fract_x
_atom_site_fract_y
_atom_site_fract_z
_atom_site_occupancy
Cr1 0.0000 0.0000 0.0000 1
Re1 0.0000 0.5000 0.0000 1
Tc1 0.5000 0.5000 0.5000 1
Ni1 0.0000 0.0000 0.5000 1

Record 2
# ZnCoMo4 (PBE-GGA, optimized geometry)
# Electronic total energy, eV/f.u.: -48.30
# M_tot, μB per formula unit: 0.84
# ΔE_f, eV/f.u.: 3.41
data_ZnCoMo4
_chemical_formula_sum 'Zn4 Co4 Mo16'
_symmetry_space_group_name_H-M 'F -4 3 m'
_symmetry_Int_Tables_number 216
_symmetry_space_group_name_Hall 'F -4 2 3'
_cell_length_a 7.2939
_cell_length_b 7.2939
_cell_length_c 7.2939
_cell_angle_alpha 90.00
_cell_angle_beta 90.00
_cell_angle_gamma 90.00
loop_
_atom_site_label
_atom_site_fract_x
_atom_site_fract_y
_atom_site_fract_z
_atom_site_occupancy
Zn1 0.0000 0.0000 0.0000 1
Co1 0.2500 0.2500 0.2500 1
Mo1 0.1253 0.1253 0.6253 1

Record 3
# InSbRu2 (PBE-GGA, optimized geometry)
# Electronic total energy, eV/f.u.: -24.67
# Energy relative to the elements, uncorrected, eV/atom: 0.185
# M_tot, μB per formula unit: 0.00
data_InSbRu2
_chemical_formula_sum 'In1 Sb1 Ru2'
_symmetry_space_group_name_H-M 'P 4 m m'
_symmetry_Int_Tables_number 99
_symmetry_space_group_name_Hall 'P 4 -2'
_cell_length_a 3.0345
_cell_length_b 3.0345
_cell_length_c 8.2233
_cell_angle_alpha 90.00
_cell_angle_beta 90.00
_cell_angle_gamma 90.00
loop_
_atom_site_label
_atom_site_fract_x
_atom_site_fract_y
_atom_site_fract_z
_atom_site_occupancy
In1 0.0000 0.0000 0.0000 1
Sb1 0.5000 0.5000 0.6452 1
Ru1 0.0000 0.0000 0.4249 1
Ru2 0.5000 0.5000 0.2290 1

Record 4
# LaVCuAg2 (PBE-GGA, optimized geometry)
# Electronic total energy, eV/f.u.: -15.21
# M_tot, μB per formula unit: 0.00
# ΔE_f, eV/f.u.: 8.64
data_LaVCuAg2
_chemical_formula_sum 'La1 V1 Cu1 Ag2'
_symmetry_space_group_name_H-M 'P 4/m m m'
_symmetry_Int_Tables_number 123
_symmetry_space_group_name_Hall '-P 4 2'
_cell_length_a 5.3758
_cell_length_b 5.3758
_cell_length_c 4.9743
_cell_angle_alpha 90.00
_cell_angle_beta 90.00
_cell_angle_gamma 90.00
loop_
_atom_site_label
_atom_site_fract_x
_atom_site_fract_y
_atom_site_fract_z
_atom_site_occupancy
La1 0.0000 0.0000 0.0000 1
V1 0.5000 0.5000 0.5000 1
Cu1 0.0000 0.0000 0.5000 1
Ag1 0.0000 0.5000 0.0000 1

Record 5
# NaTb3S4 (PBE-GGA, optimized geometry)
# Electronic total energy, eV/f.u.: -47.24
# Energy relative to the elements, uncorrected, eV/atom: -1.940
# M_tot, μB per formula unit: 0.00
data_NaTb3S4
_chemical_formula_sum 'Na1 Tb3 S4'
_symmetry_space_group_name_H-M 'P m -3 m'
_symmetry_Int_Tables_number 221
_symmetry_space_group_name_Hall '-P 4 2 3'
_cell_length_a 5.5644
_cell_length_b 5.5644
_cell_length_c 5.5644
_cell_angle_alpha 90.00
_cell_angle_beta 90.00
_cell_angle_gamma 90.00
loop_
_atom_site_label
_atom_site_fract_x
_atom_site_fract_y
_atom_site_fract_z
_atom_site_occupancy
Na1 0.0000 0.0000 0.0000 1
Tb1 0.0000 0.5000 0.5000 1
S1 0.0000 0.0000 0.5000 1
S2 0.5000 0.5000 0.5000 1

Record 6
# TlTc4Pt (PBE-GGA, optimized geometry)
# Electronic total energy, eV/f.u.: -46.53
# M_tot, μB per formula unit: 0.00
# ΔE_f, eV/f.u.: 3.34
data_TlTc4Pt
_chemical_formula_sum 'Tl4 Tc16 Pt4'
_symmetry_space_group_name_H-M 'F -4 3 m'
_symmetry_Int_Tables_number 216
_symmetry_space_group_name_Hall 'F -4 2 3'
_cell_length_a 7.3596
_cell_length_b 7.3596
_cell_length_c 7.3596
_cell_angle_alpha 90.00
_cell_angle_beta 90.00
_cell_angle_gamma 90.00
loop_
_atom_site_label
_atom_site_fract_x
_atom_site_fract_y
_atom_site_fract_z
_atom_site_occupancy
Tl1 0.0000 0.0000 0.0000 1
Tc1 0.1235 0.1235 0.6235 1
Pt1 0.2500 0.2500 0.2500 1

Record 7
# Zn2CdPd2 (PBE-GGA, optimized geometry)
# Electronic total energy, eV/f.u.: -15.78
# E above lowest polymorph, meV/atom: 21
# M_tot, μB per formula unit: 0.00
# ΔE_f, eV/f.u.: -1.94
data_Zn2CdPd2
_chemical_formula_sum 'Zn4 Cd2 Pd4'
_symmetry_space_group_name_H-M 'P 4/m b m'
_symmetry_Int_Tables_number 127
_symmetry_space_group_name_Hall '-P 4 2ab'
_cell_length_a 7.4524
_cell_length_b 7.4524
_cell_length_c 2.9318
_cell_angle_alpha 90.00
_cell_angle_beta 90.00
_cell_angle_gamma 90.00
loop_
_atom_site_label
_atom_site_fract_x
_atom_site_fract_y
_atom_site_fract_z
_atom_site_occupancy
Zn1 0.1558 0.3442 0.0000 1
Cd1 0.0000 0.0000 0.5000 1
Pd1 0.1401 0.6401 0.5000 1

Record 8
# InAg3N (PBE-GGA, optimized geometry)
# Electronic total energy, eV/f.u.: -16.80
# E above lowest polymorph, meV/atom: 0
# Energy relative to the elements, uncorrected, eV/atom: 0.564
# M_tot, μB per formula unit: 0.00
data_InAg3N
_chemical_formula_sum 'In1 Ag3 N1'
_symmetry_space_group_name_H-M 'P m -3 m'
_symmetry_Int_Tables_number 221
_symmetry_space_group_name_Hall '-P 4 2 3'
_cell_length_a 4.5156
_cell_length_b 4.5156
_cell_length_c 4.5156
_cell_angle_alpha 90.00
_cell_angle_beta 90.00
_cell_angle_gamma 90.00
loop_
_atom_site_label
_atom_site_fract_x
_atom_site_fract_y
_atom_site_fract_z
_atom_site_occupancy
In1 0.0000 0.0000 0.0000 1
Ag1 0.0000 0.5000 0.5000 1
N1 0.5000 0.5000 0.5000 1